This record from OQMD via LeMat-Bulk describes a geometry-optimized CoPdO2 structure. The functional is PBE+U.

Structure (CIF):
```
data_CoPdO2
_cell_length_a 2.831
_cell_length_b 2.831
_cell_length_c 6.173
_cell_angle_alpha 76.74
_cell_angle_beta 103.26
_cell_angle_gamma 120.00
_symmetry_space_group_name_H-M 'P 1'
_symmetry_Int_Tables_number 1
_symmetry_space_group_name_Hall 'P 1'
loop_
_atom_site_label
_atom_site_type_symbol
_atom_site_fract_x
_atom_site_fract_y
_atom_site_fract_z
Pd1 Pd 0.000 0.000 0.000
Co1 Co 0.500 0.500 0.500
O1 O 0.112 0.888 0.336
O2 O 0.888 0.112 0.664
```

* SG: R-3m
* raw total energy: -5.82 eV per atom
* magnetic moment: 0.006 μB/atom